A plane-wave DFT calculation with GGA-PBE was carried out for an optimized crystal structure of RbI3.

Results
Raw formation energy = -412 meV/atom
Volume = 43.8 Å³/atom
Crystal system = cubic
Theoretical density = 4.42 g/cm3

Lattice parameters (Å, degrees): 6.281 6.281 6.281 60.00 60.00 60.00
Fractional positions:
Rb 0.000 0.000 0.000
I 0.250 0.250 0.250
I 0.500 0.500 0.500
I 0.750 0.750 0.750

***

A plane-wave DFT calculation with GGA-PBE was carried out for an optimized crystal structure of RbI4.

Results
Raw formation energy = 67 meV/atom
Volume = 69.5 Å³/atom
Crystal system = cubic
Theoretical density = 2.83 g/cm3

Lattice parameters (Å, degrees): 7.032 7.032 7.032 90.00 90.00 90.00
Fractional positions:
Rb 0.000 0.000 0.000
I 0.000 0.000 0.500
I 0.000 0.500 0.000
I 0.500 0.000 0.000
I 0.500 0.500 0.500

***

A plane-wave DFT calculation with GGA-PBE was carried out for an optimized crystal structure of RbI3.

Results
Raw formation energy = -565 meV/atom
Volume = 54.3 Å³/atom
Crystal system = tetragonal
Theoretical density = 3.56 g/cm3

Lattice parameters (Å, degrees): 9.990 9.990 9.990 152.15 152.15 39.80
Fractional positions:
Rb 0.000 0.000 0.000
I 0.249 0.249 0.000
I 0.500 0.500 0.000
I 0.751 0.751 0.000

***

A plane-wave DFT calculation with GGA-PBE was carried out for an optimized crystal structure of RbI3.

Results
Raw formation energy = -759 meV/atom
Volume = 59.4 Å³/atom
Crystal system = orthorhombic
Theoretical density = 3.26 g/cm3

Lattice parameters (Å, degrees): 6.898 6.898 6.898 121.87 113.91 93.82
Fractional positions:
Rb 0.000 0.000 0.000
I 0.184 0.684 0.500
I 0.500 0.000 0.500
I 0.816 0.316 0.500

***

A plane-wave DFT calculation with GGA-PBE was carried out for an optimized crystal structure of RbI3.

Results
Raw formation energy = -724 meV/atom
Volume = 49.4 Å³/atom
Crystal system = tetragonal
Theoretical density = 3.92 g/cm3

Lattice parameters (Å, degrees): 6.406 6.406 4.814 90.00 90.00 90.00
Fractional positions:
Rb 0.000 0.000 0.000
I 0.000 0.500 0.500
I 0.500 0.000 0.500
I 0.500 0.500 0.500

***

A plane-wave DFT calculation with GGA-PBE was carried out for an optimized crystal structure of RbI3.

Results
Raw formation energy = -770 meV/atom
Volume = 48.5 Å³/atom
Crystal system = orthorhombic
Theoretical density = 3.99 g/cm3

Lattice parameters (Å, degrees): 11.030 6.976 10.091 90.00 90.00 90.00
Fractional positions:
Rb 0.176 0.250 0.026
Rb 0.324 0.750 0.526
Rb 0.676 0.250 0.474
Rb 0.824 0.750 0.974
I 0.069 0.750 0.262
I 0.130 0.250 0.552
I 0.161 0.750 0.858
I 0.339 0.250 0.358
I 0.370 0.750 0.052
I 0.431 0.250 0.762
I 0.569 0.750 0.238
I 0.630 0.250 0.948
I 0.661 0.750 0.642
I 0.839 0.250 0.142
I 0.870 0.750 0.448
I 0.931 0.250 0.738